(1)
The following is a DFT calculation (PBE-GGA) of crystalline BaNpAlSe4 at its relaxed geometry.

Structure (POSCAR):
```
BaNpAlSe4
1.0
6.8805 0.0000 0.0000
0.0000 6.9894 0.0000
-2.6757 0.0000 8.4229
Ba Np Al Se
2 2 2 8
direct
0.2493 0.2500 0.0609
0.7507 0.7500 0.9391
0.2272 0.2500 0.5543
0.7728 0.7500 0.4457
0.2292 0.7500 0.3220
0.7708 0.2500 0.6780
0.0088 0.5090 0.7253
0.0088 0.9910 0.7253
0.4248 0.7500 0.1410
0.4381 0.7500 0.5892
0.5619 0.2500 0.4108
0.5752 0.2500 0.8590
0.9912 0.0090 0.2747
0.9912 0.4910 0.2747
```

Computed properties:
density of states at the Fermi level = 1.13 states/eV/atom

(2)
The following is a DFT calculation (PBE-GGA) of crystalline Ba2NpAlSe5 at its relaxed geometry.

Structure (POSCAR):
```
Ba2NpAlSe5
1.0
2.1344 -9.5184 0.0000
2.1344 9.5184 0.0000
0.0000 0.0000 13.5649
Ba Np Al Se
4 2 2 10
direct
0.1205 0.8795 0.5000
0.1247 0.8753 0.1452
0.8753 0.1247 0.6452
0.8795 0.1205 0.0000
0.1999 0.8001 0.8408
0.8001 0.1999 0.3408
0.4403 0.5597 0.2388
0.5597 0.4403 0.7388
0.0400 0.9600 0.8344
0.2994 0.7006 0.4829
0.3162 0.6838 0.1887
0.3485 0.6515 0.8241
0.5001 0.4999 0.0864
0.4999 0.5001 0.5864
0.6515 0.3485 0.3241
0.6838 0.3162 0.6887
0.7006 0.2994 0.9829
0.9600 0.0400 0.3344
```

Computed properties:
density of states at the Fermi level = 1.10 states/eV/atom

(3)
The following is a DFT calculation (PBE-GGA) of crystalline Ba2NpAlSe6 at its relaxed geometry.

Structure (POSCAR):
```
Ba2NpAlSe6
1.0
7.3262 0.0000 0.0000
0.0000 7.4436 0.0000
-7.2785 0.0000 10.4557
Ba Np Al Se
4 2 2 12
direct
0.2344 0.0534 0.2476
0.2344 0.4466 0.7476
0.7656 0.5534 0.2524
0.7656 0.9466 0.7524
0.5000 0.0000 0.0000
0.5000 0.5000 0.5000
0.0000 0.0000 0.5000
0.0000 0.5000 0.0000
0.1697 0.2181 0.9669
0.1697 0.2819 0.4669
0.2502 0.7023 0.9677
0.2502 0.7977 0.4677
0.3056 0.0006 0.7422
0.3056 0.4994 0.2422
0.6944 0.5006 0.7578
0.6944 0.9994 0.2578
0.7498 0.2023 0.5323
0.7498 0.2977 0.0323
0.8303 0.7181 0.5331
0.8303 0.7819 0.0331
```

Computed properties:
density of states at the Fermi level = 0.63 states/eV/atom

(4)
The following is a DFT calculation (PBE-GGA) of crystalline Ba2NpAlTe5 at its relaxed geometry.

Structure (POSCAR):
```
Ba2NpAlTe5
1.0
2.2753 -10.2602 0.0000
2.2753 10.2602 0.0000
0.0000 0.0000 14.2929
Ba Np Al Te
4 2 2 10
direct
0.1213 0.8787 0.5000
0.1231 0.8769 0.1411
0.8769 0.1231 0.6411
0.8787 0.1213 0.0000
0.2014 0.7986 0.8375
0.7986 0.2014 0.3375
0.4371 0.5629 0.2427
0.5629 0.4371 0.7427
0.0435 0.9565 0.8465
0.2975 0.7025 0.4848
0.3125 0.6875 0.1827
0.3512 0.6488 0.8218
0.4989 0.5011 0.0840
0.5011 0.4989 0.5840
0.6488 0.3512 0.3218
0.6875 0.3125 0.6827
0.7025 0.2975 0.9848
0.9565 0.0435 0.3465
```

Computed properties:
density of states at the Fermi level = 1.05 states/eV/atom

(5)
The following is a DFT calculation (PBE-GGA) of crystalline Ba12Al3O5 at its relaxed geometry.

Structure (POSCAR):
```
Ba12Al3O5
1.0
-8.9608 8.9608 8.9608
8.9608 -8.9608 8.9608
8.9608 8.9608 -8.9608
Ba Al O
48 12 20
direct
0.0145 0.1986 0.1148
0.0145 0.3159 0.8997
0.0838 0.6986 0.6841
0.0838 0.8852 0.3997
0.1003 0.6148 0.4162
0.1003 0.9855 0.6841
0.1148 0.0145 0.1986
0.1148 0.6003 0.9162
0.1841 0.1986 0.5838
0.1841 0.4855 0.6003
0.1986 0.1148 0.0145
0.1986 0.5838 0.1841
0.3014 0.3159 0.9162
0.3014 0.4855 0.3852
0.3159 0.8997 0.0145
0.3159 0.9162 0.3014
0.3852 0.3014 0.4855
0.3852 0.5838 0.8997
0.3997 0.0838 0.8852
0.3997 0.8159 0.5145
0.4162 0.1003 0.6148
0.4162 0.8159 0.8014
0.4855 0.3852 0.3014
0.4855 0.6003 0.1841
0.5145 0.3997 0.8159
0.5145 0.6148 0.6986
0.5838 0.1841 0.1986
0.5838 0.8997 0.3852
0.6003 0.1841 0.4855
0.6003 0.9162 0.1148
0.6148 0.4162 0.1003
0.6148 0.6986 0.5145
0.6841 0.0838 0.6986
0.6841 0.1003 0.9855
0.6986 0.5145 0.6148
0.6986 0.6841 0.0838
0.8014 0.4162 0.8159
0.8014 0.8852 0.9855
0.8159 0.5145 0.3997
0.8159 0.8014 0.4162
0.8852 0.3997 0.0838
0.8852 0.9855 0.8014
0.8997 0.0145 0.3159
0.8997 0.3852 0.5838
0.9162 0.1148 0.6003
0.9162 0.3014 0.3159
0.9855 0.6841 0.1003
0.9855 0.8014 0.8852
0.1250 0.2500 0.3750
0.1250 0.3750 0.7500
0.2500 0.3750 0.1250
0.2500 0.8750 0.6250
0.3750 0.1250 0.2500
0.3750 0.7500 0.1250
0.6250 0.2500 0.8750
0.6250 0.8750 0.7500
0.7500 0.1250 0.3750
0.7500 0.6250 0.8750
0.8750 0.6250 0.2500
0.8750 0.7500 0.6250
0.0000 0.0000 0.0000
0.0000 0.0000 0.5000
0.0000 0.5000 0.0000
0.0000 0.5000 0.5000
0.1250 0.7500 0.8750
0.1250 0.8750 0.2500
0.2500 0.1250 0.8750
0.2500 0.6250 0.3750
0.3750 0.2500 0.6250
0.3750 0.6250 0.7500
0.5000 0.0000 0.0000
0.5000 0.0000 0.5000
0.5000 0.5000 0.0000
0.5000 0.5000 0.5000
0.6250 0.3750 0.2500
0.6250 0.7500 0.3750
0.7500 0.3750 0.6250
0.7500 0.8750 0.1250
0.8750 0.1250 0.7500
0.8750 0.2500 0.1250
```

Computed properties:
density of states at the Fermi level = 0.45 states/eV/atom

(6)
The following is a DFT calculation (PBE-GGA) of crystalline BaAlO2 at its relaxed geometry.

Structure (POSCAR):
```
BaAlO2
1.0
2.0175 1.1648 6.1129
-2.0175 1.1648 6.1129
0.0000 -2.3296 6.1129
Ba Al O
1 1 2
direct
0.0000 0.0000 0.0000
0.5000 0.5000 0.5000
0.4075 0.4075 0.4075
0.5925 0.5925 0.5925
```

Computed properties:
density of states at the Fermi level = 0.22 states/eV/atom

(7)
The following is a DFT calculation (PBE-GGA) of crystalline BaAl2O6 at its relaxed geometry.

Structure (POSCAR):
```
BaAl2O6
1.0
0.0000 9.0503 3.6969
4.1483 0.0000 3.6969
4.1483 9.0503 0.0000
Ba Al O
2 4 12
direct
0.0000 0.0000 0.0000
0.2500 0.2500 0.2500
0.3780 0.4626 0.7715
0.4626 0.3780 0.3879
0.4785 0.8621 0.8720
0.8621 0.4785 0.7874
0.1384 0.5408 0.8370
0.1566 0.3395 0.5866
0.3327 0.6634 0.9105
0.3395 0.1566 0.9173
0.4130 0.7662 0.1116
0.5346 0.6613 0.3885
0.5408 0.1384 0.4838
0.6613 0.5346 0.4156
0.6634 0.3327 0.0934
0.7662 0.4130 0.7092
0.8344 0.8615 0.5887
0.8615 0.8344 0.7154
```

(8)
The following is a DFT calculation (PBE-GGA) of crystalline BaAl2O2 at its relaxed geometry.

Structure (POSCAR):
```
BaAl2O2
1.0
8.0915 0.0000 0.0000
0.0000 8.0915 0.0000
0.0000 0.0000 2.8649
Ba Al O
2 4 4
direct
0.0000 0.0000 0.0000
0.5000 0.5000 0.0000
0.1030 0.3970 0.0000
0.3970 0.8970 0.0000
0.6030 0.1030 0.0000
0.8970 0.6030 0.0000
0.1012 0.6012 0.5000
0.3988 0.1012 0.5000
0.6012 0.8988 0.5000
0.8988 0.3988 0.5000
```

Computed properties:
polymorph energy (0 for the lowest one) = 1170 meV per atom
density of states at the Fermi level = 0.41 states/eV/atom

| no. | uncorrected formation energy (meV/atom) |
| --- | --- |
| 1 | -1296.6 |
| 2 | -1486.9 |
| 3 | -1345.1 |
| 4 | -1105.6 |
| 5 | -1199.5 |
| 6 | -2164.3 |
| 7 | -1960.5 |
| 8 | -594.7 |